[1]
This record from Alexandria via LeMat-Bulk describes a relaxed CsTlRu2O8 crystal. The functional is GGA-PBE.

Cell lengths 5.4901, 5.4901, 9.4104 Å; angles 93.96, 93.96, 72.28 degrees
Fractional coordinates of all 12 atoms:
Cs 0.0000 0.0000 0.0000
Tl 0.0000 0.0000 0.5000
Ru 0.4268 0.4268 0.7317
Ru 0.5732 0.5732 0.2683
O 0.2371 0.6885 0.2689
O 0.3067 0.3067 0.5737
O 0.3115 0.7629 0.7311
O 0.3278 0.3278 0.8850
O 0.6722 0.6722 0.1150
O 0.6885 0.2371 0.2689
O 0.6933 0.6933 0.4263
O 0.7629 0.3115 0.7311

Values from the calculation:
For the uncorrected formation energy, the calculation gives -946 meV per atom.

***

[2]
This record from Alexandria via LeMat-Bulk describes a relaxed CaTb5Mg4 crystal. The functional is GGA-PBE.

Cell lengths 3.8095, 3.8095, 20.1637 Å; angles 90.00, 90.00, 90.00 degrees
Fractional coordinates of all 10 atoms:
Ca 0.0000 0.0000 0.0000
Tb 0.5000 0.5000 0.1297
Tb 0.5000 0.5000 0.3123
Tb 0.5000 0.5000 0.5000
Tb 0.5000 0.5000 0.6877
Tb 0.5000 0.5000 0.8703
Mg 0.0000 0.0000 0.2204
Mg 0.0000 0.0000 0.4061
Mg 0.0000 0.0000 0.5939
Mg 0.0000 0.0000 0.7796

Values from the calculation:
Its formation energy is -0.04 eV per atom.

***

[3]
This record from Alexandria via LeMat-Bulk describes a relaxed Li2Be2ZnO4 crystal. The functional is GGA-PBE.

Cell lengths 5.0288, 5.0288, 7.4428 Å; angles 126.71, 126.71, 33.18 degrees
Fractional coordinates of all 9 atoms:
Li 0.1711 0.1711 0.2960
Li 0.8289 0.8289 0.7040
Be 0.3474 0.3474 0.1363
Be 0.6526 0.6526 0.8637
Zn 0.0000 0.0000 0.5000
O 0.2511 0.2511 0.8593
O 0.4444 0.4444 0.6500
O 0.5556 0.5556 0.3500
O 0.7489 0.7489 0.1407

Values from the calculation:
For the uncorrected formation energy, the calculation gives -2066 meV per atom.

***

[4]
This record from Alexandria via LeMat-Bulk describes a relaxed SrBrO crystal. The functional is GGA-PBE.

Cell lengths 5.5448, 5.5448, 7.1560 Å; angles 90.08, 90.08, 39.03 degrees
Fractional coordinates of all 6 atoms:
Sr 0.0000 0.0000 0.0000
Sr 0.0000 0.0000 0.5000
Br 0.2790 0.2790 0.7501
Br 0.7210 0.7210 0.2499
O 0.4798 0.4798 0.2500
O 0.5202 0.5202 0.7500

Values from the calculation:
For the uncorrected formation energy, the calculation gives -1707 meV per atom.

***

[5]
This record from Alexandria via LeMat-Bulk describes a relaxed HoHfMgRe crystal. The functional is GGA-PBE.

Cell lengths 4.8623, 4.8623, 4.8623 Å; angles 60.00, 60.00, 60.00 degrees
Fractional coordinates of all 4 atoms:
Ho 0.0000 0.0000 0.0000
Hf 0.5000 0.5000 0.5000
Mg 0.7500 0.7500 0.7500
Re 0.2500 0.2500 0.2500

Values from the calculation:
Its formation energy is 0.01 eV per atom.

***

[6]
This record from Alexandria via LeMat-Bulk describes a relaxed SmErTe crystal. The functional is GGA-PBE.

Cell lengths 8.5767, 8.5767, 11.1144 Å; angles 92.79, 92.79, 27.04 degrees
Fractional coordinates of all 12 atoms:
Sm 0.0235 0.0235 0.3512
Sm 0.3846 0.3846 0.1607
Sm 0.6154 0.6154 0.8393
Sm 0.9765 0.9765 0.6488
Er 0.1919 0.1919 0.0800
Er 0.2508 0.2508 0.6658
Er 0.7492 0.7492 0.3342
Er 0.8081 0.8081 0.9200
Te 0.3809 0.3809 0.4593
Te 0.4271 0.4271 0.8440
Te 0.5729 0.5729 0.1560
Te 0.6191 0.6191 0.5407

Values from the calculation:
For the uncorrected formation energy, the calculation gives -744 meV per atom. The calculation puts the excess energy over the best structure of this formula in the dataset at 0.029 eV per atom.

***

[7]
This record from Alexandria via LeMat-Bulk describes a relaxed Cs2NdGa2O6 crystal. The functional is GGA-PBE.

Cell lengths 7.5954, 7.5954, 7.5954 Å; angles 49.27, 49.27, 49.27 degrees
Fractional coordinates of all 11 atoms:
Cs 0.2074 0.2074 0.2074
Cs 0.7926 0.7926 0.7926
Nd 0.0000 0.0000 0.0000
Ga 0.4056 0.4056 0.4056
Ga 0.5944 0.5944 0.5944
O 0.2438 0.2438 0.7330
O 0.2438 0.7330 0.2438
O 0.2670 0.7562 0.7562
O 0.7330 0.2438 0.2438
O 0.7562 0.2670 0.7562
O 0.7562 0.7562 0.2670

Values from the calculation:
For the uncorrected formation energy, the calculation gives -1859 meV per atom.

***

[8]
This record from Alexandria via LeMat-Bulk describes a relaxed ScSeI2 crystal. The functional is GGA-PBE.

Cell lengths 5.3082, 5.3082, 5.3082 Å; angles 60.00, 60.00, 60.00 degrees
Fractional coordinates of all 4 atoms:
Sc 0.0000 0.0000 0.0000
Se 0.5000 0.5000 0.5000
I 0.2500 0.2500 0.2500
I 0.7500 0.7500 0.7500

Values from the calculation:
For the uncorrected formation energy, the calculation gives -237 meV per atom. The calculation puts the excess energy over the best structure of this formula in the dataset at 0.587 eV per atom.